{
  "formula": "ThBAs",
  "functional": "PBE",
  "state": "optimized geometry",
  "total_magnetization_mub_per_cell": 0.0,
  "volume_a3_per_cell": 124,
  "sg": "C2/m",
  "final_energy_ev_per_cell": -39.79,
  "lattice": [[3.881, -1.618, 0.000], [3.881, 1.618, 0.000], [-3.466, 0.000, 9.907]],
  "species": ["Th", "Th", "B", "B", "As", "As"],
  "fractional_positions": [[0.075, 0.075, 0.178], [0.925, 0.925, 0.822], [0.287, 0.287, 0.004], [0.713, 0.713, 0.996], [0.462, 0.462, 0.379], [0.538, 0.538, 0.621]]
}